{"formula": "BaAcF14", "functional": "PBE-GGA", "state": "relaxed", "space_group": "Imma, No. 74", "rho_g_cm3": 4.4, "total_energy_ev_per_atom": -3.559, "cell": [[-7.323, -6.531, -3.322], [-1.342, -8.078, 2.687], [-8.352, 0.069, 2.122]], "species": ["Ba", "Ba", "Ac", "Ac", "F", "F", "F", "F", "F", "F", "F", "F", "F", "F", "F", "F", "F", "F", "F", "F", "F", "F", "F", "F", "F", "F", "F", "F", "F", "F", "F", "F"], "frac_coords": [[0.250, 0.353, 0.147], [0.750, 0.647, 0.853], [0.500, 0.000, 0.500], [0.000, 0.000, 0.500], [0.667, 0.385, 0.281], [0.333, 0.615, 0.719], [0.167, 0.781, 0.885], [0.833, 0.219, 0.115], [0.079, 0.302, 0.539], [0.921, 0.698, 0.461], [0.579, 0.039, 0.802], [0.421, 0.961, 0.198], [0.111, 0.090, 0.688], [0.889, 0.910, 0.312], [0.611, 0.188, 0.590], [0.389, 0.812, 0.410], [0.742, 0.657, 0.199], [0.599, 0.343, 0.801], [0.242, 0.699, 0.157], [0.099, 0.301, 0.843], [0.258, 0.343, 0.801], [0.401, 0.657, 0.199], [0.758, 0.301, 0.843], [0.901, 0.699, 0.157], [0.403, 0.898, 0.829], [0.130, 0.102, 0.171], [0.903, 0.329, 0.398], [0.630, 0.671, 0.602], [0.597, 0.102, 0.171], [0.870, 0.898, 0.829], [0.097, 0.671, 0.602], [0.370, 0.329, 0.398]]}

{"formula": "BaAc2F8", "functional": "PBE-GGA", "state": "relaxed", "space_group": "Immm, No. 71", "rho_g_cm3": 7.2, "total_energy_ev_per_atom": -6.355, "cell": [[3.946, 0.000, -1.201], [-0.991, 5.732, -3.256], [0.079, 0.307, 7.341]], "species": ["Ac", "Ac", "Ba", "F", "F", "F", "F", "F", "F", "F", "F"], "frac_coords": [[0.180, 0.680, 0.360], [0.820, 0.320, 0.640], [0.500, 0.000, 0.000], [0.661, 0.884, 0.322], [0.339, 0.562, 0.678], [0.167, 0.167, 0.334], [0.000, 0.305, 0.000], [0.833, 0.833, 0.666], [0.661, 0.438, 0.322], [0.339, 0.116, 0.678], [0.000, 0.695, 0.000]]}

{"formula": "K2BaAcF8", "functional": "PBE-GGA", "state": "relaxed", "space_group": "I-4m2, No. 119", "rho_g_cm3": 4.1, "total_energy_ev_per_atom": -5.230, "cell": [[-3.767, -0.657, -4.913], [2.735, -5.422, -1.372], [-3.578, 0.080, 6.677]], "species": ["K", "K", "Ba", "Ac", "F", "F", "F", "F", "F", "F", "F", "F"], "frac_coords": [[0.750, 0.250, 0.500], [0.000, 0.000, 0.000], [0.500, 0.500, 0.000], [0.250, 0.750, 0.500], [0.143, 0.632, 0.739], [0.596, 0.632, 0.739], [0.368, 0.404, 0.261], [0.893, 0.857, 0.261], [0.596, 0.107, 0.739], [0.368, 0.857, 0.261], [0.143, 0.107, 0.739], [0.893, 0.404, 0.261]]}

{"formula": "KBa2AcF8", "functional": "PBE-GGA", "state": "relaxed", "space_group": "I-4m2, No. 119", "rho_g_cm3": 4.8, "total_energy_ev_per_atom": -5.826, "cell": [[-5.765, 2.151, -0.515], [-0.210, -1.964, -5.850], [0.769, -5.580, 5.104]], "species": ["K", "Ba", "Ba", "Ac", "F", "F", "F", "F", "F", "F", "F", "F"], "frac_coords": [[0.500, 0.500, 0.000], [0.750, 0.250, 0.500], [0.000, 0.000, 0.000], [0.250, 0.750, 0.500], [0.123, 0.634, 0.734], [0.611, 0.634, 0.734], [0.366, 0.389, 0.266], [0.900, 0.877, 0.266], [0.611, 0.100, 0.734], [0.366, 0.877, 0.266], [0.123, 0.100, 0.734], [0.900, 0.389, 0.266]]}

{"formula": "BaNaAcF6", "functional": "PBE-GGA", "state": "relaxed", "space_group": "P-31c, No. 163", "rho_g_cm3": 4.4, "total_energy_ev_per_atom": -5.745, "cell": [[6.279, 0.000, 0.000], [-3.140, 5.438, 0.000], [0.000, 0.000, 11.025]], "species": ["Ba", "Ba", "Na", "Na", "Ac", "Ac", "F", "F", "F", "F", "F", "F", "F", "F", "F", "F", "F", "F"], "frac_coords": [[0.000, 0.000, 0.000], [0.000, 0.000, 0.500], [0.667, 0.333, 0.250], [0.333, 0.667, 0.750], [0.333, 0.667, 0.250], [0.667, 0.333, 0.750], [0.658, 0.653, 0.138], [0.995, 0.342, 0.138], [0.342, 0.995, 0.638], [0.005, 0.658, 0.862], [0.347, 0.342, 0.362], [0.995, 0.653, 0.362], [0.653, 0.995, 0.862], [0.658, 0.005, 0.362], [0.005, 0.347, 0.638], [0.347, 0.005, 0.138], [0.653, 0.658, 0.638], [0.342, 0.347, 0.862]]}

{"formula": "RbBa2AcF8", "functional": "PBE-GGA", "state": "relaxed", "space_group": "I-4m2, No. 119", "rho_g_cm3": 5.0, "total_energy_ev_per_atom": -5.804, "cell": [[6.217, 0.000, 0.000], [0.000, 6.217, 0.000], [-3.109, -3.109, 6.301]], "species": ["Rb", "Ba", "Ba", "Ac", "F", "F", "F", "F", "F", "F", "F", "F"], "frac_coords": [[0.500, 0.500, 0.000], [0.750, 0.250, 0.500], [0.000, 0.000, 0.000], [0.250, 0.750, 0.500], [0.117, 0.636, 0.730], [0.613, 0.636, 0.730], [0.364, 0.387, 0.270], [0.907, 0.883, 0.270], [0.613, 0.093, 0.730], [0.364, 0.883, 0.270], [0.117, 0.093, 0.730], [0.907, 0.387, 0.270]]}

{"formula": "BaAcSe2F", "functional": "PBE-GGA", "state": "relaxed", "space_group": "P4/nmm, No. 129", "rho_g_cm3": 5.8, "total_energy_ev_per_atom": -5.492, "cell": [[-3.186, -0.174, 3.108], [1.945, -3.583, 1.793], [8.475, 9.206, 9.205]], "species": ["Ba", "Ba", "Ac", "Ac", "Se", "Se", "Se", "Se", "F", "F"], "frac_coords": [[0.500, 0.000, 0.597], [0.000, 0.500, 0.403], [0.500, 0.000, 0.126], [0.000, 0.500, 0.874], [0.000, 0.500, 0.692], [0.000, 0.500, 0.091], [0.500, 0.000, 0.909], [0.500, 0.000, 0.308], [0.000, 0.000, 0.500], [0.500, 0.500, 0.500]]}

{"formula": "Ba2SrAcF8", "functional": "PBE-GGA", "state": "relaxed", "space_group": "I-4m2, No. 119", "rho_g_cm3": 5.3, "total_energy_ev_per_atom": -5.833, "cell": [[-5.065, -3.398, -0.578], [0.388, -1.584, 5.905], [-1.111, 7.370, -1.128]], "species": ["Ba", "Ba", "Sr", "Ac", "F", "F", "F", "F", "F", "F", "F", "F"], "frac_coords": [[0.750, 0.250, 0.500], [0.000, 0.000, 0.000], [0.500, 0.500, 0.000], [0.250, 0.750, 0.500], [0.152, 0.632, 0.759], [0.607, 0.632, 0.759], [0.368, 0.393, 0.241], [0.873, 0.848, 0.241], [0.607, 0.127, 0.759], [0.368, 0.848, 0.241], [0.152, 0.127, 0.759], [0.873, 0.393, 0.241]]}

{"formula": "BaAcTe2F", "functional": "PBE-GGA", "state": "relaxed", "space_group": "P4/nmm, No. 129", "rho_g_cm3": 5.9, "total_energy_ev_per_atom": -5.081, "cell": [[4.685, 0.000, 0.000], [0.000, 4.685, 0.000], [0.000, 0.000, 16.361]], "species": ["Ba", "Ba", "Ac", "Ac", "Te", "Te", "Te", "Te", "F", "F"], "frac_coords": [[0.500, 0.000, 0.585], [0.000, 0.500, 0.415], [0.500, 0.000, 0.128], [0.000, 0.500, 0.872], [0.000, 0.500, 0.684], [0.000, 0.500, 0.090], [0.500, 0.000, 0.910], [0.500, 0.000, 0.316], [0.000, 0.000, 0.500], [0.500, 0.500, 0.500]]}